! CsTlNi PBE optimized geometry; values from VASP
! Energy ... -5.50 eV/cell
! Distance to the lowest polymorph of the same formula ... 0.2646 eV per atom
! SG ... No. 216
&SYSTEM
  ibrav = 0, nat = 3, ntyp = 3
/
ATOMIC_SPECIES
Ni 58.69 Ni.upf
Cs 132.91 Cs.upf
Tl 204.38 Tl.upf
ATOMIC_POSITIONS crystal
Ni 0.250 0.250 0.250
Cs 0.000 0.000 0.000
Tl 0.750 0.750 0.750
CELL_PARAMETERS angstrom
-0.151 -0.376 5.593
-3.419 3.331 2.942
-4.508 -2.155 2.544

***

! CsTlNi PBE optimized geometry; values from VASP
! Energy ... -6.30 eV/cell
! Distance to the lowest polymorph of the same formula ... 0.0000 eV per atom
! SG ... No. 216
&SYSTEM
  ibrav = 0, nat = 3, ntyp = 3
/
ATOMIC_SPECIES
Cs 132.91 Cs.upf
Ni 58.69 Ni.upf
Tl 204.38 Tl.upf
ATOMIC_POSITIONS crystal
Cs 0.250 0.250 0.250
Ni 0.750 0.750 0.750
Tl 0.000 0.000 0.000
CELL_PARAMETERS angstrom
-4.355 -2.345 2.369
-4.920 0.291 -2.406
-2.240 -4.490 -2.214

***

! CsTmNi PBE optimized geometry; values from VASP
! Energy ... -7.52 eV/cell
! SG ... No. 216
&SYSTEM
  ibrav = 0, nat = 3, ntyp = 3
/
ATOMIC_SPECIES
Ni 58.69 Ni.upf
Cs 132.91 Cs.upf
Tm 168.93 Tm.upf
ATOMIC_POSITIONS crystal
Ni 0.750 0.750 0.750
Cs 0.250 0.250 0.250
Tm 0.000 0.000 0.000
CELL_PARAMETERS angstrom
0.000 3.493 3.493
3.493 0.000 3.493
3.493 3.493 0.000

***

! CsUNi PBE optimized geometry; values from VASP
! Energy ... -11.40 eV/cell
! SG ... No. 216
&SYSTEM
  ibrav = 0, nat = 3, ntyp = 3
/
ATOMIC_SPECIES
Cs 132.91 Cs.upf
U 238.03 U.upf
Ni 58.69 Ni.upf
ATOMIC_POSITIONS crystal
Cs 0.250 0.250 0.250
U 0.000 0.000 0.000
Ni 0.750 0.750 0.750
CELL_PARAMETERS angstrom
-5.491 0.491 2.153
-4.073 3.108 -2.962
-4.486 -2.788 -2.670

***

! CsYNi PBE optimized geometry; values from VASP
! Energy ... -8.88 eV/cell
! Distance to the lowest polymorph of the same formula ... 0.5742 eV per atom
! SG ... No. 216
&SYSTEM
  ibrav = 0, nat = 3, ntyp = 3
/
ATOMIC_SPECIES
Ni 58.69 Ni.upf
Cs 132.91 Cs.upf
Y 88.91 Y.upf
ATOMIC_POSITIONS crystal
Ni 0.250 0.250 0.250
Cs 0.000 0.000 0.000
Y 0.750 0.750 0.750
CELL_PARAMETERS angstrom
-0.773 -2.425 4.200
-4.380 0.248 2.208
-2.945 -3.929 0.060

***

! CsYNi PBE optimized geometry; values from VASP
! Energy ... -10.60 eV/cell
! Distance to the lowest polymorph of the same formula ... 0.0000 eV per atom
! SG ... No. 216
&SYSTEM
  ibrav = 0, nat = 3, ntyp = 3
/
ATOMIC_SPECIES
Y 88.91 Y.upf
Ni 58.69 Ni.upf
Cs 132.91 Cs.upf
ATOMIC_POSITIONS crystal
Y 0.750 0.750 0.750
Ni 0.000 0.000 0.000
Cs 0.250 0.250 0.250
CELL_PARAMETERS angstrom
0.000 3.642 3.642
3.642 0.000 3.642
3.642 3.642 0.000

***

! CsZnNi PBE optimized geometry; values from VASP
! Energy ... -5.25 eV/cell
! SG ... No. 216
&SYSTEM
  ibrav = 0, nat = 3, ntyp = 3
/
ATOMIC_SPECIES
Ni 58.69 Ni.upf
Zn 65.41 Zn.upf
Cs 132.91 Cs.upf
ATOMIC_POSITIONS crystal
Ni 0.000 0.000 0.000
Zn 0.750 0.750 0.750
Cs 0.250 0.250 0.250
CELL_PARAMETERS angstrom
-0.714 -4.586 -1.901
-4.634 -1.892 -0.311
-2.191 -0.545 -4.478

***

! CsNp PBE optimized geometry; values from VASP
! Energy ... -10.94 eV/cell
! Distance to the lowest polymorph of the same formula ... 0.0000 eV per atom
! SG ... No. 166
&SYSTEM
  ibrav = 0, nat = 2, ntyp = 2
/
ATOMIC_SPECIES
Np 237.00 Np.upf
Cs 132.91 Cs.upf
ATOMIC_POSITIONS crystal
Np 0.500 0.500 0.500
Cs 0.000 0.000 0.000
CELL_PARAMETERS angstrom
-5.425 -1.582 5.086
-2.455 -1.631 7.008
-4.038 1.448 6.277

***

! CsNp PBE optimized geometry; values from VASP
! Energy ... -10.94 eV/cell
! Distance to the lowest polymorph of the same formula ... 0.0024 eV per atom
! SG ... No. 187
&SYSTEM
  ibrav = 0, nat = 2, ntyp = 2
/
ATOMIC_SPECIES
Np 237.00 Np.upf
Cs 132.91 Cs.upf
ATOMIC_POSITIONS crystal
Np 0.333 0.667 0.250
Cs 0.667 0.333 0.750
CELL_PARAMETERS angstrom
-0.312 3.541 -0.136
-2.250 -1.908 1.992
4.578 0.625 5.768

***

! CsNp PBE optimized geometry; values from VASP
! Energy ... -9.40 eV/cell
! Distance to the lowest polymorph of the same formula ... 0.7740 eV per atom
! SG ... No. 225
&SYSTEM
  ibrav = 0, nat = 2, ntyp = 2
/
ATOMIC_SPECIES
Cs 132.91 Cs.upf
Np 237.00 Np.upf
ATOMIC_POSITIONS crystal
Cs 0.000 0.000 0.000
Np 0.500 0.500 0.500
CELL_PARAMETERS angstrom
-5.144 -1.995 -0.133
-4.071 3.009 -2.199
-2.254 -1.502 -4.809

***

! CsNp PBE optimized geometry; values from VASP
! Energy ... -8.50 eV/cell
! Distance to the lowest polymorph of the same formula ... 1.2216 eV per atom
! SG ... No. 216
&SYSTEM
  ibrav = 0, nat = 2, ntyp = 2
/
ATOMIC_SPECIES
Np 237.00 Np.upf
Cs 132.91 Cs.upf
ATOMIC_POSITIONS crystal
Np 0.250 0.250 0.250
Cs 0.000 0.000 0.000
CELL_PARAMETERS angstrom
0.000 4.030 4.030
4.030 0.000 4.030
4.030 4.030 0.000

***

! CsNpPa PBE optimized geometry; values from VASP
! Energy ... -17.04 eV/cell
! Distance to the lowest polymorph of the same formula ... 0.0000 eV per atom
! SG ... No. 216
&SYSTEM
  ibrav = 0, nat = 3, ntyp = 3
/
ATOMIC_SPECIES
Np 237.00 Np.upf
Cs 132.91 Cs.upf
Pa 231.04 Pa.upf
ATOMIC_POSITIONS crystal
Np 0.750 0.750 0.750
Cs 0.250 0.250 0.250
Pa 0.000 0.000 0.000
CELL_PARAMETERS angstrom
0.000 3.693 3.693
3.693 0.000 3.693
3.693 3.693 0.000

***

! CsNpPa PBE optimized geometry; values from VASP
! Energy ... -16.53 eV/cell
! Distance to the lowest polymorph of the same formula ... 0.1691 eV per atom
! SG ... No. 216
&SYSTEM
  ibrav = 0, nat = 3, ntyp = 3
/
ATOMIC_SPECIES
Cs 132.91 Cs.upf
Pa 231.04 Pa.upf
Np 237.00 Np.upf
ATOMIC_POSITIONS crystal
Cs 0.000 0.000 0.000
Pa 0.750 0.750 0.750
Np 0.250 0.250 0.250
CELL_PARAMETERS angstrom
-3.040 1.493 3.887
-4.915 1.259 -0.909
-3.795 -3.082 1.635

***

! CsPrNp PBE optimized geometry; values from VASP
! Energy ... -11.05 eV/cell
! Distance to the lowest polymorph of the same formula ... 0.7890 eV per atom
! SG ... No. 216
&SYSTEM
  ibrav = 0, nat = 3, ntyp = 3
/
ATOMIC_SPECIES
Np 237.00 Np.upf
Cs 132.91 Cs.upf
Pr 140.91 Pr.upf
ATOMIC_POSITIONS crystal
Np 0.250 0.250 0.250
Cs 0.000 0.000 0.000
Pr 0.750 0.750 0.750
CELL_PARAMETERS angstrom
-4.117 3.110 3.447
-5.064 2.420 -2.646
-5.578 -2.464 1.147

***

! CsPrNp PBE optimized geometry; values from VASP
! Energy ... -13.41 eV/cell
! Distance to the lowest polymorph of the same formula ... 0.0000 eV per atom
! SG ... No. 216
&SYSTEM
  ibrav = 0, nat = 3, ntyp = 3
/
ATOMIC_SPECIES
Np 237.00 Np.upf
Pr 140.91 Pr.upf
Cs 132.91 Cs.upf
ATOMIC_POSITIONS crystal
Np 0.750 0.750 0.750
Pr 0.000 0.000 0.000
Cs 0.250 0.250 0.250
CELL_PARAMETERS angstrom
0.000 4.074 4.074
4.074 0.000 4.074
4.074 4.074 0.000

***

! CsRbNp PBE optimized geometry; values from VASP
! Energy ... -9.87 eV/cell
! SG ... No. 216
&SYSTEM
  ibrav = 0, nat = 3, ntyp = 3
/
ATOMIC_SPECIES
Np 237.00 Np.upf
Rb 85.47 Rb.upf
Cs 132.91 Cs.upf
ATOMIC_POSITIONS crystal
Np 0.250 0.250 0.250
Rb 0.750 0.750 0.750
Cs 0.000 0.000 0.000
CELL_PARAMETERS angstrom
1.544 -2.553 6.121
-3.739 1.688 5.434
-4.084 -4.619 2.891

***

! CsNpS3 PBE optimized geometry; values from VASP
! Energy ... -32.25 eV/cell
! SG ... No. 221
&SYSTEM
  ibrav = 0, nat = 5, ntyp = 3
/
ATOMIC_SPECIES
Cs 132.91 Cs.upf
Np 237.00 Np.upf
S 32.06 S.upf
ATOMIC_POSITIONS crystal
Cs 0.000 0.000 0.000
Np 0.500 0.500 0.500
S 0.500 0.500 0.000
S 0.500 0.000 0.500
S 0.000 0.500 0.500
CELL_PARAMETERS angstrom
-4.637 2.360 -0.607
-2.400 -4.649 0.261
-0.421 0.509 5.197

***

! CsNpSeS PBE optimized geometry; values from VASP
! Energy ... -53.11 eV/cell
! SG ... No. 164
&SYSTEM
  ibrav = 0, nat = 8, ntyp = 4
/
ATOMIC_SPECIES
Cs 132.91 Cs.upf
S 32.06 S.upf
Se 78.96 Se.upf
Np 237.00 Np.upf
ATOMIC_POSITIONS crystal
Cs 0.667 0.333 0.242
Cs 0.333 0.667 0.758
S 0.667 0.333 0.914
Se 0.667 0.333 0.597
Np 0.000 0.000 0.500
S 0.333 0.667 0.086
Np 0.000 0.000 0.000
Se 0.333 0.667 0.403
CELL_PARAMETERS angstrom
4.199 0.000 0.000
-2.100 3.637 0.000
0.000 0.000 16.429

***

! CsNpSe3 PBE optimized geometry; values from VASP
! Energy ... -29.70 eV/cell
! SG ... No. 221
&SYSTEM
  ibrav = 0, nat = 5, ntyp = 3
/
ATOMIC_SPECIES
Np 237.00 Np.upf
Se 78.96 Se.upf
Cs 132.91 Cs.upf
ATOMIC_POSITIONS crystal
Np 0.000 0.000 0.000
Se 0.000 0.500 0.000
Cs 0.500 0.500 0.500
Se 0.000 0.000 0.500
Se 0.500 0.000 0.000
CELL_PARAMETERS angstrom
5.503 0.000 0.000
0.000 5.503 0.000
0.000 0.000 5.503

***

! CsSmNp PBE optimized geometry; values from VASP
! Energy ... -13.25 eV/cell
! Distance to the lowest polymorph of the same formula ... 0.0000 eV per atom
! SG ... No. 216
&SYSTEM
  ibrav = 0, nat = 3, ntyp = 3
/
ATOMIC_SPECIES
Np 237.00 Np.upf
Sm 150.36 Sm.upf
Cs 132.91 Cs.upf
ATOMIC_POSITIONS crystal
Np 0.750 0.750 0.750
Sm 0.000 0.000 0.000
Cs 0.250 0.250 0.250
CELL_PARAMETERS angstrom
0.000 4.156 4.156
4.156 0.000 4.156
4.156 4.156 0.000

***

! CsSmNp PBE optimized geometry; values from VASP
! Energy ... -13.05 eV/cell
! Distance to the lowest polymorph of the same formula ... 0.0676 eV per atom
! SG ... No. 216
&SYSTEM
  ibrav = 0, nat = 3, ntyp = 3
/
ATOMIC_SPECIES
Np 237.00 Np.upf
Sm 150.36 Sm.upf
Cs 132.91 Cs.upf
ATOMIC_POSITIONS crystal
Np 0.750 0.750 0.750
Sm 0.250 0.250 0.250
Cs 0.000 0.000 0.000
CELL_PARAMETERS angstrom
1.515 -3.135 4.184
-3.612 -1.337 3.846
-1.819 -5.117 0.365

***

! CsNpSn PBE optimized geometry; values from VASP
! Energy ... -13.78 eV/cell
! SG ... No. 216
&SYSTEM
  ibrav = 0, nat = 3, ntyp = 3
/
ATOMIC_SPECIES
Np 237.00 Np.upf
Cs 132.91 Cs.upf
Sn 118.71 Sn.upf
ATOMIC_POSITIONS crystal
Np 0.250 0.250 0.250
Cs 0.000 0.000 0.000
Sn 0.750 0.750 0.750
CELL_PARAMETERS angstrom
-5.344 -1.055 0.624
-3.729 3.201 -2.431
-2.926 -1.919 -4.221

***

! CsTbNp PBE optimized geometry; values from VASP
! Energy ... -12.89 eV/cell
! SG ... No. 216
&SYSTEM
  ibrav = 0, nat = 3, ntyp = 3
/
ATOMIC_SPECIES
Cs 132.91 Cs.upf
Np 237.00 Np.upf
Tb 158.93 Tb.upf
ATOMIC_POSITIONS crystal
Cs 0.000 0.000 0.000
Np 0.750 0.750 0.750
Tb 0.250 0.250 0.250
CELL_PARAMETERS angstrom
2.735 1.579 4.466
-2.735 1.579 4.466
0.000 -3.158 4.466

***

! CsNpTe PBE optimized geometry; values from VASP
! Energy ... -15.84 eV/cell
! SG ... No. 216
&SYSTEM
  ibrav = 0, nat = 3, ntyp = 3
/
ATOMIC_SPECIES
Cs 132.91 Cs.upf
Te 127.60 Te.upf
Np 237.00 Np.upf
ATOMIC_POSITIONS crystal
Cs 0.250 0.250 0.250
Te 0.000 0.000 0.000
Np 0.750 0.750 0.750
CELL_PARAMETERS angstrom
0.000 4.024 4.024
4.024 0.000 4.024
4.024 4.024 0.000

***

! CsTmNp PBE optimized geometry; values from VASP
! Energy ... -12.65 eV/cell
! Distance to the lowest polymorph of the same formula ... 0.1105 eV per atom
! SG ... No. 216
&SYSTEM
  ibrav = 0, nat = 3, ntyp = 3
/
ATOMIC_SPECIES
Np 237.00 Np.upf
Cs 132.91 Cs.upf
Tm 168.93 Tm.upf
ATOMIC_POSITIONS crystal
Np 0.750 0.750 0.750
Cs 0.000 0.000 0.000
Tm 0.250 0.250 0.250
CELL_PARAMETERS angstrom
2.708 1.564 4.422
-2.708 1.564 4.422
0.000 -3.127 4.422

***

! CsTmNp PBE optimized geometry; values from VASP
! Energy ... -12.98 eV/cell
! Distance to the lowest polymorph of the same formula ... 0.0000 eV per atom
! SG ... No. 216
&SYSTEM
  ibrav = 0, nat = 3, ntyp = 3
/
ATOMIC_SPECIES
Tm 168.93 Tm.upf
Np 237.00 Np.upf
Cs 132.91 Cs.upf
ATOMIC_POSITIONS crystal
Tm 0.000 0.000 0.000
Np 0.750 0.750 0.750
Cs 0.250 0.250 0.250
CELL_PARAMETERS angstrom
0.000 4.163 4.163
4.163 0.000 4.163
4.163 4.163 0.000

***

! CsNpU PBE optimized geometry; values from VASP
! Energy ... -17.93 eV/cell
! Distance to the lowest polymorph of the same formula ... 0.2148 eV per atom
! SG ... No. 216
&SYSTEM
  ibrav = 0, nat = 3, ntyp = 3
/
ATOMIC_SPECIES
Np 237.00 Np.upf
U 238.03 U.upf
Cs 132.91 Cs.upf
ATOMIC_POSITIONS crystal
Np 0.250 0.250 0.250
U 0.750 0.750 0.750
Cs 0.000 0.000 0.000
CELL_PARAMETERS angstrom
3.260 -2.012 3.456
3.371 3.046 2.445
-0.612 1.018 5.021

***

! CsNpU PBE optimized geometry; values from VASP
! Energy ... -18.58 eV/cell
! Distance to the lowest polymorph of the same formula ... 0.0000 eV per atom
! SG ... No. 216
&SYSTEM
  ibrav = 0, nat = 3, ntyp = 3
/
ATOMIC_SPECIES
Np 237.00 Np.upf
U 238.03 U.upf
Cs 132.91 Cs.upf
ATOMIC_POSITIONS crystal
Np 0.750 0.750 0.750
U 0.000 0.000 0.000
Cs 0.250 0.250 0.250
CELL_PARAMETERS angstrom
1.979 2.466 4.039
-0.902 5.009 0.641
-3.069 1.588 3.791

***

! CsNpW PBE optimized geometry; values from VASP
! Energy ... -19.69 eV/cell
! SG ... No. 216
&SYSTEM
  ibrav = 0, nat = 3, ntyp = 3
/
ATOMIC_SPECIES
W 183.84 W.upf
Cs 132.91 Cs.upf
Np 237.00 Np.upf
ATOMIC_POSITIONS crystal
W 0.000 0.000 0.000
Cs 0.750 0.750 0.750
Np 0.250 0.250 0.250
CELL_PARAMETERS angstrom
0.000 3.552 3.552
3.552 0.000 3.552
3.552 3.552 0.000

***

! CsNpZn PBE optimized geometry; values from VASP
! Energy ... -10.19 eV/cell
! SG ... No. 216
&SYSTEM
  ibrav = 0, nat = 3, ntyp = 3
/
ATOMIC_SPECIES
Np 237.00 Np.upf
Cs 132.91 Cs.upf
Zn 65.41 Zn.upf
ATOMIC_POSITIONS crystal
Np 0.750 0.750 0.750
Cs 0.000 0.000 0.000
Zn 0.250 0.250 0.250
CELL_PARAMETERS angstrom
-5.074 -0.513 -0.879
-3.346 0.231 3.942
-3.138 4.086 0.495

***

! CsZrNp PBE optimized geometry; values from VASP
! Energy ... -15.91 eV/cell
! SG ... No. 216
&SYSTEM
  ibrav = 0, nat = 3, ntyp = 3
/
ATOMIC_SPECIES
Zr 91.22 Zr.upf
Np 237.00 Np.upf
Cs 132.91 Cs.upf
ATOMIC_POSITIONS crystal
Zr 0.750 0.750 0.750
Np 0.250 0.250 0.250
Cs 0.000 0.000 0.000
CELL_PARAMETERS angstrom
0.000 3.608 3.608
3.608 0.000 3.608
3.608 3.608 0.000

***

! Cs2OsO4 PBE optimized geometry; values from VASP
! Energy ... -42.38 eV/cell
! SG ... No. 42
&SYSTEM
  ibrav = 0, nat = 7, ntyp = 3
/
ATOMIC_SPECIES
Cs 132.91 Cs.upf
O 16.00 O.upf
Os 190.23 Os.upf
ATOMIC_POSITIONS crystal
Cs 0.251 0.251 0.249
O 0.242 0.882 0.118
Cs 0.751 0.751 0.749
Os 0.000 0.000 0.000
O 0.882 0.242 0.758
O 0.755 0.118 0.245
O 0.118 0.755 0.882
CELL_PARAMETERS angstrom
5.067 -2.042 3.263
0.852 2.615 5.700
-0.576 -3.587 5.674